A relaxed KLiPb3 crystal. Source: Alexandria, functional GGA-PBE.

As for the theoretical density: 7107 kg/m3. Its crystal system is cubic. The calculated volume is 31.199 Å³ per atom. Its relative energy among the computed polymorphs is 0.143 eV per atom. The value obtained for the formation energy is -29.6 meV/atom. For the density of states at the Fermi level, the calculation gives 2.84 states/eV/cell. As for the space-group type: Pm-3m. As for the total DFT energy (no corrections): -0.2100 Ry/atom.

Unit cell a=5.383 b=5.383 c=5.383 alpha=90.00 beta=90.00 gamma=90.00
Fractional positions:
Pb 0.500 0.000 0.000
Pb 0.000 0.000 0.500
Pb 0.000 0.500 0.000
K 0.500 0.500 0.500
Li 0.000 0.000 0.000